Entry 1:
The following is a DFT calculation (PBE-GGA) of a geometry-optimized LiHg2Se structure.

Results
- energy relative to the elements, uncorrected (eV per atom) = -0.361
- space group = Immm, No. 71
- DOS(E_F) (states/eV/f.u.) = 1.729
- electronic total energy (eV per atom) = -1.862
- magnetization (μB per formula unit) = 0.0

Unit cell a=6.8478 b=6.8478 c=6.8478 alpha=148.72 beta=146.61 gamma=46.40
Last column: nearest neighbours and their distance in Å.
Fractional positions:
Hg  0.9391  0.9391  0.0000  2 Se 3.01, 2 Li 3.09, 4 Hg 3.10
Hg  0.5609  0.5609  0.0000  2 Se 3.01, 2 Li 3.09, 4 Hg 3.10
Li  0.2500  0.7500  0.5000  4 Se 2.70
Se  0.7500  0.2500  0.5000  4 Li 2.70, 4 Hg 3.01

Entry 2:
The following is a DFT calculation (PBE-GGA) of a geometry-optimized LiEr2ThTl4 structure.

Results
- space group = R-3m, No. 166
- DOS(E_F) (states/eV/f.u.) = 4.055
- energy of formation (meV per atom) = -243
- electronic total energy (eV per atom) = -3.734
- magnetization (μB per formula unit) = 0.0

Unit cell a=5.2490 b=5.2490 c=9.4567 alpha=73.89 beta=73.89 gamma=60.00
Last column: nearest neighbours and their distance in Å.
Fractional positions:
Li  0.5000  0.5000  0.5000  8 Tl 3.19-3.22
Er  0.7537  0.7537  0.7390  7 Tl 3.14-3.24
Er  0.2463  0.2463  0.2610  7 Tl 3.14-3.24
Th  0.0000  0.0000  0.0000  8 Tl 3.28-3.48
Tl  0.3803  0.3803  0.8592  4 Er 3.22-3.60, 1 Li 3.22, 3 Th 3.28
Tl  0.8706  0.8706  0.3881  4 Er 3.14-3.24, 3 Li 3.19, 1 Th 3.48
Tl  0.1294  0.1294  0.6119  4 Er 3.14-3.24, 3 Li 3.19, 1 Th 3.48
Tl  0.6197  0.6197  0.1408  4 Er 3.22-3.60, 1 Li 3.22, 3 Th 3.28